No. 1
Computed, not measured: a crystal of TmAu2 relaxed with PBEsol at the SCAN level of DFT.

Summary:
calculated volume: 19.45 Å³/atom
crystal system: tetragonal
Fermi-level density of states: 0.9 states/eV/f.u.
total DFT energy (no corrections): -64.4789 eV per atom

Cell lengths 5.112, 5.112, 5.112 Å; angles 138.36, 138.36, 60.34 degrees
Positions (direct):
Tm 0.000 0.000 0.000
Au 0.335 0.335 0.000
Au 0.665 0.665 0.000

=====

No. 2
Computed, not measured: a crystal of AsRhPb2 relaxed with PBEsol at the SCAN level of DFT.

Summary:
calculated volume: 21.22 Å³/atom
crystal system: tetragonal
Fermi-level density of states: 2.1 states/eV/f.u.
total DFT energy (no corrections): -51.0418 eV per atom

Cell lengths 5.156, 5.156, 5.156 Å; angles 126.90, 126.90, 78.41 degrees
Positions (direct):
As 0.000 0.000 0.000
Rh 0.250 0.750 0.500
Pb 0.500 0.500 0.000
Pb 0.750 0.250 0.500

=====

No. 3
Computed, not measured: a crystal of Al2Ag relaxed with PBEsol at the SCAN level of DFT.

Summary:
calculated volume: 16.88 Å³/atom
crystal system: orthorhombic
Fermi-level density of states: 0.8 states/eV/f.u.
total DFT energy (no corrections): -15.6057 eV per atom

Cell lengths 4.676, 4.674, 3.592 Å; angles 67.43, 67.37, 45.19 degrees
Positions (direct):
Al 0.166 0.166 0.834
Al 0.834 0.834 0.166
Ag 0.500 0.500 0.500

=====

No. 4
Computed, not measured: a crystal of TlCr2PdW relaxed with PBEsol at the SCAN level of DFT.

Summary:
calculated volume: 24.22 Å³/atom
crystal system: tetragonal
Fermi-level density of states: 4.5 states/eV/f.u.
total DFT energy (no corrections): -40.2823 eV per atom

Cell lengths 4.897, 4.897, 5.051 Å; angles 90.00, 90.00, 90.00 degrees
Positions (direct):
Tl 0.000 0.000 0.000
Cr 0.000 0.500 0.000
Cr 0.500 0.000 0.000
Pd 0.500 0.500 0.500
W 0.000 0.000 0.500